## AlPOs (PBE-GGA)

Data for crystalline AlPOs at its relaxed geometry.

It has space group Fmm2 (No. 42), with a = 2.930 Å, b = 5.011 Å, c = 12.211 Å, α = 90.00°, β = 90.00° and γ = 90.00°. The inequivalent atoms are Al at (0.000, 0.000, 0.000), P at (0.000, 0.000, 0.678) and Os at (0.000, 0.000, 0.325).

The excess energy over the best structure of this formula in the dataset is 0.408 eV per atom. The value obtained for the formation energy is 0.204 eV/atom. The density of states at the Fermi level is 4.11 states/eV per cell.



## AlPOs (PBE-GGA)

Data for crystalline AlPOs at its relaxed geometry.

It has space group F-43m (No. 216), with a = 5.638 Å, b = 5.638 Å, c = 5.638 Å, α = 90.00°, β = 90.00° and γ = 90.00°. The inequivalent atoms are Al at (0.000, 0.000, 0.000), P at (0.250, 0.250, 0.750) and Os at (0.000, 0.000, 0.500).

The excess energy over the best structure of this formula in the dataset is 0.364 eV per atom. The value obtained for the formation energy is 0.160 eV/atom. The density of states at the Fermi level is 8.55 states/eV per cell.



## AlPOs (PBE-GGA)

Data for crystalline AlPOs at its relaxed geometry.

It has space group I4mm (No. 107), with a = 2.923 Å, b = 2.923 Å, c = 10.263 Å, α = 90.00°, β = 90.00° and γ = 90.00°. The inequivalent atoms are Al at (0.000, 0.000, 0.000), P at (0.000, 0.000, 0.700) and Os at (0.000, 0.000, 0.327).

The excess energy over the best structure of this formula in the dataset is 0.076 eV per atom. The value obtained for the formation energy is -0.129 eV/atom. The density of states at the Fermi level is 0.72 states/eV per cell.



## Al2POs (PBE-GGA)

Data for crystalline Al2POs at its relaxed geometry.

It has space group Pmmm (No. 47), with a = 3.166 Å, b = 3.184 Å, c = 5.491 Å, α = 90.00°, β = 90.00° and γ = 90.00°. The inequivalent atoms are Al at (0.000, 0.000, 0.245), P at (0.500, 0.500, 0.000) and Os at (0.500, 0.500, 0.500).

The value obtained for the formation energy is -0.219 eV/atom. The density of states at the Fermi level is 1.57 states/eV per cell.



## AlPOs3 (PBE-GGA)

Data for crystalline AlPOs3 at its relaxed geometry.

It has space group Pm-3m (No. 221), with a = 4.335 Å, b = 4.335 Å, c = 4.335 Å, α = 90.00°, β = 90.00° and γ = 90.00°. The inequivalent atoms are Al at (0.000, 0.000, 0.000), P at (0.500, 0.500, 0.500) and Os at (0.000, 0.500, 0.500).

The excess energy over the best structure of this formula in the dataset is 0.000 eV per atom. The value obtained for the formation energy is 0.729 eV/atom. The density of states at the Fermi level is 1.85 states/eV per cell.



## AlP2Os (PBE-GGA)

Data for crystalline AlP2Os at its relaxed geometry.

It has space group I-4m2 (No. 119), with a = 3.854 Å, b = 3.854 Å, c = 7.386 Å, α = 90.00°, β = 90.00° and γ = 90.00°. The inequivalent atoms are Al at (0.000, 0.000, 0.000), P at (0.000, 0.000, 0.500), P at (0.000, 0.500, 0.250) and Os at (0.000, 0.500, 0.750).

The value obtained for the formation energy is 0.294 eV/atom. The density of states at the Fermi level is 4.58 states/eV per cell.



## Al2POs (PBE-GGA)

Data for crystalline Al2POs at its relaxed geometry.

It has space group Immm (No. 71), with a = 3.223 Å, b = 4.412 Å, c = 7.883 Å, α = 90.00°, β = 90.00° and γ = 90.00°. The inequivalent atoms are Al at (0.000, 0.000, 0.237), P at (0.000, 0.500, 0.500) and Os at (0.000, 0.500, 0.000).

The value obtained for the formation energy is -0.095 eV/atom. The density of states at the Fermi level is 1.98 states/eV per cell.



## AlP2Os (PBE-GGA)

Data for crystalline AlP2Os at its relaxed geometry.

It has space group P4/mmm (No. 123), with a = 2.915 Å, b = 2.915 Å, c = 6.682 Å, α = 90.00°, β = 90.00° and γ = 90.00°. The inequivalent atoms are Al at (0.000, 0.000, 0.000), P at (0.500, 0.500, 0.274) and Os at (0.000, 0.000, 0.500).

The value obtained for the formation energy is 0.080 eV/atom. The density of states at the Fermi level is 1.27 states/eV per cell.